The following is a DFT calculation (PBE) of crystalline Ba4CrAg at its relaxed geometry.

```
6
Lattice="0.000 5.153 5.153 5.153 0.000 5.153 5.153 5.153 0.000" Properties=species:S:1:pos:R:3 pbc="T T T"
Ba 1.288 1.288 1.288
Ba 3.864 3.864 1.288
Ba 3.864 1.288 3.864
Ba 1.288 3.864 3.864
Cr 7.729 7.729 7.729
Ag 5.153 5.153 5.153
```

## Properties
M_tot in μB/cell: 4.14
Total DFT energy (no corrections) in eV per cell: -15.32
Crystal system: cubic
N(E_F) in states/eV per atom: 1.4338


The following is a DFT calculation (PBE) of crystalline BaCr3Ag at its relaxed geometry.

```
5
Lattice="5.214 0.000 0.000 0.000 5.214 0.000 0.000 0.000 5.214" Properties=species:S:1:pos:R:3 pbc="T T T"
Ba 0.000 0.000 0.000
Cr 0.000 2.607 2.607
Cr 2.607 0.000 2.607
Cr 2.607 2.607 0.000
Ag 2.607 2.607 2.607
```

## Properties
M_tot in μB/cell: 13.58
Total DFT energy (no corrections) in eV per cell: -28.19
Crystal system: cubic
Relative energy among the computed polymorphs in meV per atom: 0
N(E_F) in states/eV per atom: 0.7608


The following is a DFT calculation (PBE) of crystalline BaCrAg at its relaxed geometry.

```
6
Lattice="3.849 0.000 0.000 0.000 3.849 0.000 0.000 0.000 11.625" Properties=species:S:1:pos:R:3 pbc="T T T"
Ba 0.000 0.000 0.000
Ba 1.925 1.925 5.812
Cr 0.000 0.000 3.365
Cr 1.925 1.925 9.177
Ag 0.000 0.000 8.186
Ag 1.925 1.925 2.374
```

## Properties
M_tot in μB/cell: 9.55
Total DFT energy (no corrections) in eV per cell: -26.12
Crystal system: tetragonal
Relative energy among the computed polymorphs in meV per atom: 81
N(E_F) in states/eV per atom: 0.7874


The following is a DFT calculation (PBE) of crystalline BaCrAg at its relaxed geometry.

```
3
Lattice="4.890 0.000 0.000 -2.445 4.235 0.000 0.000 0.000 4.536" Properties=species:S:1:pos:R:3 pbc="T T T"
Ba 0.000 0.000 0.000
Cr 2.445 1.412 2.268
Ag 0.000 2.823 2.268
```

## Properties
M_tot in μB/cell: 4.83
Total DFT energy (no corrections) in eV per cell: -13.30
Crystal system: hexagonal
Relative energy among the computed polymorphs in meV per atom: 0
N(E_F) in states/eV per atom: 0.4306


The following is a DFT calculation (PBE) of crystalline BaCrAg at its relaxed geometry.

```
12
Lattice="7.424 0.000 0.000 0.000 7.424 0.000 0.000 0.000 7.424" Properties=species:S:1:pos:R:3 pbc="T T T"
Ba 0.000 0.000 0.000
Ba 0.000 3.712 3.712
Ba 3.712 0.000 3.712
Ba 3.712 3.712 0.000
Cr 0.000 0.000 3.712
Cr 0.000 3.712 0.000
Cr 3.712 0.000 0.000
Cr 3.712 3.712 3.712
Ag 1.856 1.856 1.856
Ag 1.856 5.568 5.568
Ag 5.568 1.856 5.568
Ag 5.568 5.568 1.856
```

## Properties
M_tot in μB/cell: 19.51
Total DFT energy (no corrections) in eV per cell: -51.05
Crystal system: cubic
Relative energy among the computed polymorphs in meV per atom: 181
N(E_F) in states/eV per atom: 0.5171


The following is a DFT calculation (PBE) of crystalline Ba2CrAg4 at its relaxed geometry.

```
14
Lattice="5.207 0.000 0.000 0.000 5.207 0.000 0.000 0.000 16.958" Properties=species:S:1:pos:R:3 pbc="T T T"
Ba 0.000 0.000 2.331
Ba 0.000 0.000 14.627
Ba 2.603 2.603 6.148
Ba 2.603 2.603 10.810
Cr 0.000 0.000 8.479
Cr 2.603 2.603 0.000
Ag 0.000 0.000 5.795
Ag 0.000 0.000 11.163
Ag 0.000 2.603 0.000
Ag 0.000 2.603 8.479
Ag 2.603 0.000 0.000
Ag 2.603 0.000 8.479
Ag 2.603 2.603 2.684
Ag 2.603 2.603 14.274
```

## Properties
M_tot in μB/cell: 8.85
Total DFT energy (no corrections) in eV per cell: -47.48
Crystal system: tetragonal
N(E_F) in states/eV per atom: 0.4771